DFT (GGA-PBE) results for crystalline FeNiGePd at its relaxed geometry.

Summary:
raw total energy: -6.05 eV per atom
space-group type: F-43m, No. 216

abc: 4.203 4.203 4.203
angles: 60.00 60.00 60.00
Element x y z (fractional)
Ni (0.500, 0.500, 0.500)
Fe (0.750, 0.750, 0.750)
Pd (0.250, 0.250, 0.250)
Ge (0.000, 0.000, 0.000)